A plane-wave DFT calculation with PBE was carried out for an optimized crystal structure of TmSb2Pt9.

Cell: 4.0858 4.0858 12.2803 Å, 90.00 90.00 90.00°
Element x y z (fractional)
Pt (0.5000, 0.0000, 0.5000)
Pt (0.0000, 0.5000, 0.5000)
Pt (0.5000, 0.5000, 0.6630)
Pt (0.0000, 0.5000, 0.1680)
Tm (0.0000, 0.0000, 0.0000)
Pt (0.5000, 0.0000, 0.8320)
Pt (0.0000, 0.5000, 0.8320)
Sb (0.0000, 0.0000, 0.6700)
Sb (0.0000, 0.0000, 0.3300)
Pt (0.5000, 0.5000, 0.0000)
Pt (0.5000, 0.5000, 0.3370)
Pt (0.5000, 0.0000, 0.1680)

Summary:
Uncorrected energy (Ry/atom): -0.44633
Formation energy from raw total energies (eV/atom): -0.4823

***

A plane-wave DFT calculation with PBE was carried out for an optimized crystal structure of Ag2SnPd2.

Cell: 3.7608 3.7608 7.3747 Å, 75.23 75.23 90.00°
Element x y z (fractional)
Ag (0.7500, 0.2500, 0.5000)
Ag (0.2500, 0.7500, 0.5000)
Sn (0.0000, 0.0000, 0.0000)
Pd (0.4037, 0.4037, 0.1927)
Pd (0.5963, 0.5963, 0.8073)

Summary:
Relative energy among the computed polymorphs (meV/atom): 161
Uncorrected energy (Ry/atom): -0.29446

***

A plane-wave DFT calculation with PBE was carried out for an optimized crystal structure of K2HfSb.

Cell: 4.3840 4.3840 13.5444 Å, 80.69 80.69 90.00°
Element x y z (fractional)
Sb (0.2500, 0.7500, 0.5000)
K (0.1382, 0.6250, 0.2500)
K (0.6118, 0.1250, 0.2500)
K (0.3750, 0.3882, 0.7500)
Sb (0.5000, 0.5000, 0.0000)
K (0.8750, 0.8618, 0.7500)
Hf (0.7500, 0.2500, 0.5000)
Hf (0.0000, 0.0000, 0.0000)

Summary:
Uncorrected energy (Ry/atom): -0.26675
Formation energy from raw total energies (eV/atom): 0.4383

***

A plane-wave DFT calculation with PBE was carried out for an optimized crystal structure of Re2HgCl.

Cell: 4.8551 3.6852 4.9930 Å, 97.02 90.00 90.00°
Element x y z (fractional)
Re (0.0000, 0.0474, 0.9040)
Cl (0.5000, 0.2500, 0.2500)
Re (0.0000, 0.4526, 0.5960)
Hg (0.5000, 0.7500, 0.7500)

Summary:
Relative energy among the computed polymorphs (meV/atom): 855
Uncorrected energy (Ry/atom): -0.42076
Formation energy from raw total energies (eV/atom): 1.0364

***

A plane-wave DFT calculation with PBE was carried out for an optimized crystal structure of BaHoRh2.

Cell: 3.4886 3.4886 7.6335 Å, 90.00 90.00 90.00°
Element x y z (fractional)
Rh (0.0000, 0.0000, 0.2026)
Ho (0.5000, 0.5000, 0.0000)
Ba (0.5000, 0.5000, 0.5000)
Rh (0.0000, 0.0000, 0.7974)

Summary:
Uncorrected energy (Ry/atom): -0.42059

***

A plane-wave DFT calculation with PBE was carried out for an optimized crystal structure of KIO2.

Cell: 7.5649 7.5649 7.5649 Å, 27.46 27.46 27.46°
Element x y z (fractional)
K (0.5000, 0.5000, 0.5000)
O (0.9105, 0.9105, 0.9105)
I (0.0000, 0.0000, 0.0000)
O (0.0895, 0.0895, 0.0895)

Summary:
Relative energy among the computed polymorphs (meV/atom): 156
Uncorrected energy (Ry/atom): -0.27214
Formation energy from raw total energies (eV/atom): -0.5616

***

A plane-wave DFT calculation with PBE was carried out for an optimized crystal structure of K2Hg.

Cell: 8.1001 8.1001 8.2698 Å, 89.98 89.98 33.01°
Element x y z (fractional)
K (0.0728, 0.0728, 0.4809)
K (0.3804, 0.3804, 0.7850)
Hg (0.9784, 0.9784, 0.0675)
K (0.3419, 0.3419, 0.2851)
K (0.6494, 0.6494, 0.9808)
Hg (0.7437, 0.7437, 0.5674)

Summary:
Relative energy among the computed polymorphs (meV/atom): 23
Uncorrected energy (Ry/atom): -0.07194

***

A plane-wave DFT calculation with PBE was carried out for an optimized crystal structure of AlAg2P.

Cell: 4.7555 2.9763 4.8861 Å, 93.24 90.00 90.00°
Element x y z (fractional)
Al (0.5000, 0.2500, 0.2500)
Ag (0.0000, 0.5236, 0.4936)
P (0.5000, 0.7500, 0.7500)
Ag (0.0000, 0.9764, 0.0064)

Summary:
Relative energy among the computed polymorphs (meV/atom): 103
Uncorrected energy (Ry/atom): -0.25892

***

A plane-wave DFT calculation with PBE was carried out for an optimized crystal structure of Tl2AgAu.

Cell: 6.2204 6.2204 6.2204 Å, 148.52 129.76 60.50°
Element x y z (fractional)
Tl (0.0224, 0.0224, 0.0000)
Ag (0.4788, 0.4788, 0.0000)
Au (0.2671, 0.7671, 0.5000)
Tl (0.7317, 0.2317, 0.5000)

Summary:
Relative energy among the computed polymorphs (meV/atom): 44
Uncorrected energy (Ry/atom): -0.19415

***

A plane-wave DFT calculation with PBE was carried out for an optimized crystal structure of Cs8RbAu4.

Cell: 5.3019 13.3336 13.3336 Å, 87.73 78.53 78.53°
Element x y z (fractional)
Cs (0.3355, 0.6232, 0.7057)
Rb (0.0000, 0.0000, 0.0000)
Au (0.8436, 0.4808, 0.8320)
Cs (0.0413, 0.2943, 0.6232)
Au (0.1564, 0.5192, 0.1680)
Cs (0.3088, 0.0420, 0.3403)
Cs (0.6645, 0.3768, 0.2943)
Au (0.3244, 0.8320, 0.5192)
Cs (0.6492, 0.6597, 0.0420)
Cs (0.3508, 0.3403, 0.9580)
Cs (0.9587, 0.7057, 0.3768)
Au (0.6756, 0.1680, 0.4808)
Cs (0.6912, 0.9580, 0.6597)

Summary:
Relative energy among the computed polymorphs (meV/atom): 0
Uncorrected energy (Ry/atom): -0.13335

***

A plane-wave DFT calculation with PBE was carried out for an optimized crystal structure of CsRb2CdPt.

Cell: 6.6112 6.6112 5.4458 Å, 90.00 90.00 90.00°
Element x y z (fractional)
Cd (0.0000, 0.0000, 0.5000)
Pt (0.0000, 0.0000, 0.0000)
Cs (0.5000, 0.5000, 0.5000)
Rb (0.5000, 0.0000, 0.0000)
Rb (0.0000, 0.5000, 0.0000)

Summary:
Relative energy among the computed polymorphs (meV/atom): 0
Uncorrected energy (Ry/atom): -0.14277

***

A plane-wave DFT calculation with PBE was carried out for an optimized crystal structure of VMo3W.

Cell: 4.4959 9.3524 9.3524 Å, 92.70 66.51 66.51°
Element x y z (fractional)
W (0.2866, 0.2008, 0.3667)
V (0.7500, 0.9158, 0.0842)
Mo (0.9957, 0.9433, 0.7715)
W (0.2134, 0.6333, 0.7992)
Mo (0.0043, 0.0567, 0.2285)
Mo (0.0892, 0.5129, 0.3510)
Mo (0.9349, 0.4067, 0.9093)
V (0.2500, 0.0842, 0.9158)
W (0.7134, 0.7992, 0.6333)
V (0.7500, 0.2426, 0.7574)
Mo (0.4108, 0.6490, 0.4871)
W (0.7866, 0.3667, 0.2008)
Mo (0.4349, 0.9093, 0.4067)
Mo (0.0651, 0.5933, 0.0907)
Mo (0.5651, 0.0907, 0.5933)
Mo (0.5043, 0.2285, 0.0567)
Mo (0.5892, 0.3510, 0.5129)
V (0.2500, 0.7574, 0.2426)
Mo (0.4957, 0.7715, 0.9433)
Mo (0.9108, 0.4871, 0.6490)

Summary:
Relative energy among the computed polymorphs (meV/atom): 353
Uncorrected energy (Ry/atom): -0.78275

***

A plane-wave DFT calculation with PBE was carried out for an optimized crystal structure of PmTm2Th3Se6.

Cell: 6.9455 6.9455 7.5538 Å, 98.80 98.80 119.74°
Element x y z (fractional)
Se (0.2681, 0.2681, 0.7714)
Se (0.7319, 0.7319, 0.2286)
Tm (0.6680, 0.3320, 0.0000)
Se (0.0787, 0.4223, 0.2354)
Tm (0.3320, 0.6680, 0.0000)
Th (0.1610, 0.8390, 0.5000)
Pm (0.0000, 0.0000, 0.0000)
Th (0.8390, 0.1610, 0.5000)
Se (0.9213, 0.5777, 0.7646)
Se (0.5777, 0.9213, 0.7646)
Se (0.4223, 0.0787, 0.2354)
Th (0.5000, 0.5000, 0.5000)

Summary:
Uncorrected energy (Ry/atom): -0.46744
Formation energy from raw total energies (eV/atom): -1.6215

***

A plane-wave DFT calculation with PBE was carried out for an optimized crystal structure of P3HCl.

Cell: 4.6625 4.6625 4.6625 Å, 90.00 90.00 90.00°
Element x y z (fractional)
P (0.5000, 0.0000, 0.0000)
Cl (0.0000, 0.0000, 0.0000)
P (0.0000, 0.0000, 0.5000)
H (0.5000, 0.5000, 0.5000)
P (0.0000, 0.5000, 0.0000)

Summary:
Relative energy among the computed polymorphs (meV/atom): 849
Uncorrected energy (Ry/atom): -0.17123

***

A plane-wave DFT calculation with PBE was carried out for an optimized crystal structure of Nd4Cd5Au6.

Cell: 4.0955 11.7343 15.4392 Å, 90.00 90.00 100.05°
Element x y z (fractional)
Au (0.2253, 0.4506, 0.4459)
Cd (0.3586, 0.7171, 0.9670)
Nd (0.0248, 0.0496, 0.5118)
Au (0.4229, 0.8457, 0.4369)
Cd (0.8201, 0.6402, 0.1216)
Au (0.7747, 0.5494, 0.9459)
Cd (0.3104, 0.6209, 0.6223)
Cd (0.4660, 0.9321, 0.6703)
Au (0.9012, 0.8024, 0.5943)
Au (0.2667, 0.5333, 0.7951)
Nd (0.9752, 0.9504, 0.0118)
Au (0.0988, 0.1976, 0.0943)
Au (0.5398, 0.0795, 0.3569)
Cd (0.1799, 0.3598, 0.6216)
Cd (0.3234, 0.6467, 0.2764)
Au (0.7333, 0.4667, 0.2951)
Nd (0.1340, 0.2679, 0.2875)
Au (0.4602, 0.9205, 0.8569)
Nd (0.9456, 0.8913, 0.2836)
Cd (0.6766, 0.3533, 0.7764)
Cd (0.6896, 0.3791, 0.1223)
Cd (0.5340, 0.0679, 0.1703)
Nd (0.8660, 0.7321, 0.7875)
Cd (0.6414, 0.2829, 0.4670)
Nd (0.0544, 0.1087, 0.7836)
Nd (0.8195, 0.6389, 0.4496)
Nd (0.1805, 0.3611, 0.9496)
Au (0.5893, 0.1786, 0.6362)
Au (0.4107, 0.8214, 0.1362)
Au (0.5771, 0.1543, 0.9369)

Summary:
Uncorrected energy (Ry/atom): -0.25186

***

A plane-wave DFT calculation with PBE was carried out for an optimized crystal structure of Cs2Zn2CdO4.

Cell: 3.5052 6.7173 7.5442 Å, 105.11 103.43 90.00°
Element x y z (fractional)
Cs (0.8711, 0.4640, 0.7421)
Zn (0.6751, 0.0045, 0.3501)
O (0.5446, 0.8206, 0.0892)
O (0.7837, 0.8462, 0.5673)
O (0.4554, 0.1794, 0.9108)
Zn (0.3249, 0.9955, 0.6499)
O (0.2163, 0.1538, 0.4327)
Cd (0.0000, 0.0000, 0.0000)
Cs (0.1289, 0.5360, 0.2579)

Summary:
Uncorrected energy (Ry/atom): -0.29477
Formation energy from raw total energies (eV/atom): -1.2324

***

A plane-wave DFT calculation with PBE was carried out for an optimized crystal structure of Sn2TeRhSe.

Cell: 5.3823 4.6411 5.3823 Å, 90.00 90.00 90.00°
Element x y z (fractional)
Sn (0.5000, 0.0000, 0.0000)
Rh (0.0000, 0.0000, 0.0000)
Sn (0.0000, 0.0000, 0.5000)
Te (0.5000, 0.5000, 0.5000)
Se (0.0000, 0.5000, 0.0000)

Summary:
Uncorrected energy (Ry/atom): -0.32822
Formation energy from raw total energies (eV/atom): -0.0690

***

A plane-wave DFT calculation with PBE was carried out for an optimized crystal structure of LiGaHg2Ge.

Cell: 5.1346 4.8524 5.1346 Å, 90.00 90.00 90.00°
Element x y z (fractional)
Ge (0.5000, 0.5000, 0.5000)
Hg (0.5000, 0.0000, 0.0000)
Hg (0.0000, 0.0000, 0.5000)
Li (0.0000, 0.5000, 0.0000)
Ga (0.0000, 0.0000, 0.0000)

Summary:
Uncorrected energy (Ry/atom): -0.12223

***

A plane-wave DFT calculation with PBE was carried out for an optimized crystal structure of VIrW.

Cell: 4.2311 4.2311 6.5770 Å, 71.24 71.24 60.00°
Element x y z (fractional)
V (0.0755, 0.0755, 0.7736)
W (0.3600, 0.3600, 0.9201)
Ir (0.7870, 0.7870, 0.6391)
Ir (0.2130, 0.2130, 0.3609)
W (0.6400, 0.6400, 0.0799)
V (0.9245, 0.9245, 0.2264)

Summary:
Relative energy among the computed polymorphs (meV/atom): 29
Uncorrected energy (Ry/atom): -0.76034

***

A plane-wave DFT calculation with PBE was carried out for an optimized crystal structure of Ac2Pm4Y7.

Cell: 6.2528 6.2528 13.5924 Å, 90.00 90.00 120.00°
Element x y z (fractional)
Ac (0.6667, 0.3333, 0.0000)
Y (0.3526, 0.3526, 0.7818)
Pm (0.0000, 0.0000, 0.6050)
Y (0.0000, 0.6474, 0.7818)
Ac (0.3333, 0.6667, 0.0000)
Pm (0.0000, 0.0000, 0.3950)
Y (0.6474, 0.0000, 0.7818)
Y (0.6474, 0.6474, 0.2182)
Pm (0.3333, 0.6667, 0.5000)
Y (0.3526, 0.0000, 0.2182)
Y (0.0000, 0.3526, 0.2182)
Y (0.0000, 0.0000, 0.0000)
Pm (0.6667, 0.3333, 0.5000)

Summary:
Uncorrected energy (Ry/atom): -0.39543